Entry 1:
DFT (PBE) results for a geometry-optimized ZnPOs2 structure.

a b c (Å): 4.207 4.207 4.207
angles (deg): 60.00 60.00 60.00
Sites, in units of the cell vectors:
P: 0.000 0.000 0.000
Zn: 0.500 0.500 0.500
Os: 0.250 0.250 0.250
Os: 0.750 0.750 0.750

symmetry: Fm-3m, No. 225
relative energy among the computed polymorphs: 132 meV per atom

Entry 2:
DFT (PBE) results for a geometry-optimized Zn2POs structure.

a b c (Å): 2.739 2.739 9.133
angles (deg): 90.00 90.00 119.47
Sites, in units of the cell vectors:
Zn: 0.000 0.000 0.256
Zn: 0.000 0.000 0.744
P: 0.500 0.500 0.000
Os: 0.500 0.500 0.500

symmetry: Cmmm, No. 65

Entry 3:
DFT (PBE) results for a geometry-optimized Zn2POs structure.

a b c (Å): 3.419 3.419 4.833
angles (deg): 90.00 90.00 90.00
Sites, in units of the cell vectors:
Zn: 0.000 0.000 0.749
Zn: 0.000 0.000 0.251
P: 0.500 0.500 0.500
Os: 0.500 0.500 0.000

symmetry: P4/mmm, No. 123

no.,formation energy from the elements (eV/atom)
1,0.21
2,0.39
3,0.20